Compound: MgPaGeIr
Source: the Alexandria database
Functional: PBE
Structure: optimized geometry

Cell and atoms, written as CIF:
```
data_MgPaGeIr
_chemical_formula_sum 'Mg1 Pa1 Ge1 Ir1'
_symmetry_space_group_name_H-M 'P 1'
_symmetry_Int_Tables_number 1
_cell_length_a 4.796
_cell_length_b 4.796
_cell_length_c 4.796
_cell_angle_alpha 60.00
_cell_angle_beta 60.00
_cell_angle_gamma 60.00
loop_
_symmetry_equiv_pos_as_xyz
'x,y,z'
loop_
_atom_site_label
_atom_site_type_symbol
_atom_site_fract_x
_atom_site_fract_y
_atom_site_fract_z
_atom_site_occupancy
Ir1 Ir 0.750 0.750 0.750 1
Pa1 Pa 0.000 0.000 0.000 1
Ge1 Ge 0.250 0.250 0.250 1
Mg1 Mg 0.500 0.500 0.500 1
```

Summary:
Size of the total moment: 0.000 μB per atom
Energy of formation from the pure elements: -0.419 eV per atom
Crystal system: cubic
Calculated density: 11071 kg/m3